ScUCoO6 | GGA+U | relaxed

Values from the calculation:
Space-group type: No. 163
M_tot in μB/f.u.: 3.992
Uncorrected energy in eV per atom: -8.2375
Density in g/cm3: 6.59

abc: 5.4326 5.4326 8.6359
angles: 90.00 90.00 120.00
Fractional positions:
Sc1 0.3333 0.6667 0.2500
Sc2 0.6667 0.3333 0.7500
U1 0.6667 0.3333 0.2500
U2 0.3333 0.6667 0.7500
Co1 0.0000 0.0000 0.0000
Co2 0.0000 0.0000 0.5000
O1 0.6735 0.6681 0.1273
O2 0.9946 0.3265 0.1273
O3 0.3265 0.9946 0.6273
O4 0.0054 0.6735 0.8727
O5 0.3319 0.3265 0.3727
O6 0.9946 0.6681 0.3727
O7 0.6681 0.9946 0.8727
O8 0.6735 0.0054 0.3727
O9 0.0054 0.3319 0.6273
O10 0.3319 0.0054 0.1273
O11 0.6681 0.6735 0.6273
O12 0.3265 0.3319 0.8727